A geometry-optimized SmYCl structure, computed with PBE.

Cell and atoms, written as POSCAR:
```
SmYCl
1.0
3.720 0.000 0.000
-1.860 3.222 0.000
0.000 0.000 7.076
Cl Sm Y
1 1 1
direct
0.667 0.333 0.326 Cl
0.333 0.667 0.645 Sm
0.000 0.000 0.029 Y
```

Calculated values
SG: No. 156
ΔE_f (raw): -2.7 eV/f.u.

***

A geometry-optimized Sm2YCl5 structure, computed with PBE.

Cell and atoms, written as POSCAR:
```
Sm2YCl5
1.0
-5.418 -2.976 -3.903
1.399 -6.238 -1.405
-3.186 -4.312 3.741
Cl Sm Y
5 2 1
direct
0.715 0.356 0.813 Cl
0.720 0.816 0.352 Cl
0.405 0.925 0.912 Cl
0.064 0.248 0.260 Cl
0.070 0.751 0.761 Cl
0.741 0.584 0.070 Sm
0.740 0.073 0.583 Sm
0.991 0.024 0.026 Y
```

Calculated values
SG: No. 1
ΔE_f (raw): -13.1 eV/f.u.

***

A geometry-optimized Sm2YCl structure, computed with PBE.

Cell and atoms, written as POSCAR:
```
Sm2YCl
1.0
3.655 0.000 0.000
1.828 3.165 0.000
1.828 1.055 10.200
Cl Y Sm
1 1 2
direct
0.000 0.000 0.000 Cl
0.500 0.500 0.500 Y
0.739 0.739 0.782 Sm
0.261 0.261 0.218 Sm
```

Calculated values
SG: No. 166
ΔE_f (raw): -2.6 eV/f.u.

***

A geometry-optimized SmY2Cl structure, computed with PBE.

Cell and atoms, written as POSCAR:
```
SmY2Cl
1.0
3.467 0.000 0.000
1.734 3.003 0.000
1.734 1.001 11.160
Cl Y Sm
1 2 1
direct
0.500 0.500 0.500 Cl
0.899 0.899 0.303 Y
0.101 0.101 0.697 Y
0.000 0.000 0.000 Sm
```

Calculated values
SG: No. 166
ΔE_f (raw): -1.5 eV/f.u.

***

A geometry-optimized SmYCl3 structure, computed with PBE.

Cell and atoms, written as POSCAR:
```
SmYCl3
1.0
3.814 0.000 0.767
1.456 7.621 2.626
0.017 -0.042 9.781
Cl Y Sm
6 2 2
direct
0.954 0.346 0.746 Cl
0.659 0.189 0.493 Cl
0.046 0.654 0.254 Cl
0.776 0.332 0.115 Cl
0.341 0.811 0.507 Cl
0.224 0.668 0.885 Cl
0.415 0.218 0.952 Y
0.585 0.782 0.048 Y
0.140 0.012 0.709 Sm
0.860 0.988 0.291 Sm
```

Calculated values
SG: No. 12
ΔE_f (raw): -9.2 eV/f.u.

***

A geometry-optimized SmY3Cl structure, computed with PBE.

Cell and atoms, written as POSCAR:
```
SmY3Cl
1.0
-5.096 -1.478 -0.366
1.342 -3.758 -3.516
0.719 -3.462 3.973
Y Cl Sm
3 1 1
direct
0.000 0.500 0.000 Y
0.000 0.000 0.500 Y
0.500 0.000 0.000 Y
0.000 0.000 0.000 Cl
0.500 0.500 0.500 Sm
```

Calculated values
SG: No. 221
ΔE_f (raw): -2.3 eV/f.u.

***

A geometry-optimized Sm2YCl8 structure, computed with PBE.

Cell and atoms, written as POSCAR:
```
Sm2YCl8
1.0
-2.378 -1.863 4.848
4.813 -5.483 -1.012
3.243 6.059 2.652
Cl Sm Y
8 2 1
direct
0.693 0.357 0.357 Cl
0.307 0.643 0.643 Cl
0.113 0.072 0.335 Cl
0.500 0.778 0.222 Cl
0.887 0.665 0.928 Cl
0.887 0.928 0.665 Cl
0.500 0.222 0.778 Cl
0.113 0.335 0.072 Cl
0.000 0.688 0.312 Sm
0.000 0.312 0.688 Sm
0.500 0.000 0.000 Y
```

Calculated values
SG: No. 12
ΔE_f (raw): -22.1 eV/f.u.

***

A geometry-optimized SmZnCl5 structure, computed with PBE.

Cell and atoms, written as POSCAR:
```
SmZnCl5
1.0
-6.373 -2.580 1.967
-2.785 0.599 -6.559
7.490 -7.216 0.458
Cl Sm Zn
10 2 2
direct
0.161 0.737 0.831 Cl
0.237 0.661 0.332 Cl
0.735 0.698 0.047 Cl
0.839 0.263 0.169 Cl
0.763 0.339 0.668 Cl
0.802 0.765 0.453 Cl
0.420 0.079 0.250 Cl
0.580 0.921 0.750 Cl
0.198 0.235 0.547 Cl
0.265 0.302 0.953 Cl
0.500 0.000 0.000 Sm
0.500 0.000 0.500 Sm
0.889 0.611 0.250 Zn
0.111 0.389 0.750 Zn
```

Calculated values
SG: No. 15
ΔE_f (raw): -12.3 eV/f.u.

***

A geometry-optimized SmZnCl6 structure, computed with PBE.

Cell and atoms, written as POSCAR:
```
SmZnCl6
1.0
6.412 0.009 0.011
3.199 5.555 0.022
3.198 1.854 6.028
Cl Sm Zn
6 1 1
direct
0.927 0.603 0.239 Cl
0.073 0.397 0.761 Cl
0.397 0.767 0.762 Cl
0.766 0.073 0.763 Cl
0.603 0.233 0.238 Cl
0.234 0.927 0.237 Cl
0.500 0.500 0.500 Sm
0.000 0.000 0.000 Zn
```

Calculated values
SG: No. 2
ΔE_f (raw): -10.8 eV/f.u.

***

A geometry-optimized SmZnCl structure, computed with PBE.

Cell and atoms, written as POSCAR:
```
SmZnCl
1.0
4.054 0.000 0.731
1.961 3.548 0.731
0.069 0.041 11.219
Sm Zn Cl
2 2 2
direct
0.566 0.566 0.302 Sm
0.434 0.434 0.698 Sm
0.160 0.160 0.520 Zn
0.840 0.840 0.480 Zn
0.718 0.718 0.845 Cl
0.282 0.282 0.155 Cl
```

Calculated values
SG: No. 166
ΔE_f (raw): -3.5 eV/f.u.

***

A geometry-optimized Sm7ZnCl12 structure, computed with PBE.

Cell and atoms, written as POSCAR:
```
Sm7ZnCl12
1.0
8.638 -0.286 -2.699
-3.591 7.861 -2.699
-0.191 -0.286 9.048
Cl Sm Zn
12 7 1
direct
0.391 0.479 0.165 Cl
0.783 0.921 0.306 Cl
0.306 0.783 0.921 Cl
0.609 0.521 0.835 Cl
0.165 0.391 0.479 Cl
0.921 0.306 0.783 Cl
0.694 0.217 0.079 Cl
0.479 0.165 0.391 Cl
0.079 0.694 0.217 Cl
0.217 0.079 0.694 Cl
0.521 0.835 0.609 Cl
0.835 0.609 0.521 Cl
0.126 0.042 0.341 Sm
0.874 0.958 0.659 Sm
0.958 0.659 0.874 Sm
0.500 0.500 0.500 Sm
0.042 0.341 0.126 Sm
0.341 0.126 0.042 Sm
0.659 0.874 0.958 Sm
0.000 0.000 0.000 Zn
```

Calculated values
SG: No. 148
ΔE_f (raw): -36.7 eV/f.u.

***

A geometry-optimized SmZnCl structure, computed with PBE.

Cell and atoms, written as POSCAR:
```
SmZnCl
1.0
3.970 0.000 0.000
0.000 7.307 1.062
-1.985 0.697 10.052
Cl Zn Sm
4 4 4
direct
0.539 0.778 0.078 Cl
0.461 0.222 0.922 Cl
0.088 0.364 0.176 Cl
0.912 0.636 0.824 Cl
0.768 0.871 0.536 Zn
0.232 0.129 0.464 Zn
0.797 0.201 0.594 Zn
0.203 0.799 0.406 Zn
0.607 0.065 0.214 Sm
0.669 0.523 0.338 Sm
0.393 0.935 0.786 Sm
0.331 0.477 0.662 Sm
```

Calculated values
SG: No. 12
ΔE_f (raw): -3.2 eV/f.u.

***

A geometry-optimized SmZrCl structure, computed with PBE.

Cell and atoms, written as POSCAR:
```
SmZrCl
1.0
-3.285 -0.803 4.277
-3.364 -3.610 2.319
-6.738 -11.958 17.417
Cl Sm Zr
2 2 2
direct
0.526 0.526 0.766 Cl
0.227 0.227 0.541 Cl
0.684 0.684 0.448 Sm
0.069 0.069 0.859 Sm
0.831 0.831 0.109 Zr
0.922 0.922 0.199 Zr
```

Calculated values
SG: No. 12
ΔE_f (raw): -2.4 eV/f.u.

***

A geometry-optimized SnCl4 structure, computed with PBE.

Cell and atoms, written as POSCAR:
```
SnCl4
1.0
-7.248 -0.693 -0.348
1.098 -10.511 -1.934
-0.004 -4.784 9.593
Cl Sn
16 4
direct
0.922 0.411 0.200 Cl
0.573 0.938 0.182 Cl
0.573 0.202 0.468 Cl
0.927 0.202 0.968 Cl
0.927 0.938 0.682 Cl
0.422 0.589 0.300 Cl
0.073 0.062 0.318 Cl
0.374 0.309 0.085 Cl
0.073 0.798 0.032 Cl
0.578 0.411 0.700 Cl
0.078 0.589 0.800 Cl
0.427 0.062 0.818 Cl
0.626 0.691 0.915 Cl
0.126 0.309 0.585 Cl
0.874 0.691 0.415 Cl
0.427 0.798 0.532 Cl
0.925 0.754 0.857 Sn
0.075 0.246 0.143 Sn
0.425 0.246 0.643 Sn
0.575 0.754 0.357 Sn
```

Calculated values
SG: No. 14
ΔE_f (raw): -4.7 eV/f.u.

***

A geometry-optimized Sn3Cl structure, computed with PBE.

Cell and atoms, written as POSCAR:
```
Sn3Cl
1.0
-2.395 -0.751 2.126
1.420 -3.943 0.207
4.878 2.084 6.232
Sn Cl
3 1
direct
0.000 0.000 0.034 Sn
0.500 0.500 0.806 Sn
0.500 0.000 0.536 Sn
0.000 0.500 0.290 Cl
```

Calculated values
SG: No. 25
ΔE_f (raw): -0.5 eV/f.u.

***

A geometry-optimized SnCl2 structure, computed with PBE.

Cell and atoms, written as POSCAR:
```
SnCl2
1.0
-3.418 -2.109 -1.570
-1.226 -3.405 7.242
-5.982 7.742 2.627
Cl Sn
8 4
direct
0.250 0.145 0.913 Cl
0.750 0.355 0.413 Cl
0.750 0.989 0.641 Cl
0.750 0.489 0.859 Cl
0.750 0.855 0.087 Cl
0.250 0.511 0.141 Cl
0.250 0.011 0.359 Cl
0.250 0.645 0.587 Cl
0.250 0.728 0.948 Sn
0.250 0.228 0.552 Sn
0.750 0.272 0.052 Sn
0.750 0.772 0.448 Sn
```

Calculated values
SG: No. 62
ΔE_f (raw): -3.0 eV/f.u.

***

A geometry-optimized Sn4Cl structure, computed with PBE.

Cell and atoms, written as POSCAR:
```
Sn4Cl
1.0
-4.686 2.421 1.297
-2.553 -4.785 -0.292
1.012 -0.861 5.266
Sn Cl
4 1
direct
0.000 0.000 0.000 Sn
0.500 0.000 0.500 Sn
0.500 0.500 0.000 Sn
0.000 0.500 0.500 Sn
0.500 0.500 0.500 Cl
```

Calculated values
SG: No. 221
ΔE_f (raw): 1.7 eV/f.u.

***

A geometry-optimized Sn3Cl structure, computed with PBE.

Cell and atoms, written as POSCAR:
```
Sn3Cl
1.0
3.419 0.000 0.000
0.000 4.930 0.000
-1.710 -2.465 6.851
Sn Cl
3 1
direct
0.500 0.422 0.000 Sn
0.203 0.616 0.406 Sn
0.797 0.211 0.594 Sn
0.000 0.917 0.000 Cl
```

Calculated values
SG: No. 44
ΔE_f (raw): -0.8 eV/f.u.

***

A geometry-optimized SnCl2 structure, computed with PBE.

Cell and atoms, written as POSCAR:
```
SnCl2
1.0
-3.322 -3.727 5.325
6.243 -1.295 2.988
-1.874 6.589 3.443
Cl Sn
8 4
direct
0.325 0.065 0.368 Cl
0.264 0.589 0.531 Cl
0.764 0.411 0.969 Cl
0.736 0.411 0.469 Cl
0.825 0.935 0.132 Cl
0.175 0.065 0.868 Cl
0.675 0.935 0.632 Cl
0.236 0.589 0.031 Cl
0.516 0.727 0.340 Sn
0.016 0.273 0.160 Sn
0.484 0.273 0.660 Sn
0.984 0.727 0.840 Sn
```

Calculated values
SG: No. 14
ΔE_f (raw): -3.0 eV/f.u.

***

A geometry-optimized SnCl4 structure, computed with PBE.

Cell and atoms, written as POSCAR:
```
SnCl4
1.0
-4.412 -2.318 1.421
0.581 -3.450 -3.823
2.656 -3.095 3.197
Sn Cl
1 4
direct
0.500 0.500 0.500 Sn
0.000 0.500 0.500 Cl
0.500 0.000 0.500 Cl
0.500 0.500 0.000 Cl
0.000 0.000 0.000 Cl
```

Calculated values
SG: No. 221
ΔE_f (raw): -1.9 eV/f.u.

***

no.,DFT total energy (eV per atom)
1,-5.26
2,-4.78
3,-5.10
4,-5.26
5,-5.19
6,-5.65
7,-4.80
8,-3.93
9,-3.48
10,-3.78
11,-4.66
12,-3.69
13,-5.84
14,-3.21
15,-3.60
16,-3.56
17,-3.22
18,-3.66
19,-3.58
20,-2.66